P | First-principles (PBE) data for an optimized crystal structure of CaPrTh, as listed in the Alexandria database.

Geometry as POSCAR:
```
CaPrTh
1.0
-1.807 1.807 8.339
1.807 -1.807 8.339
1.807 1.807 -8.339
Ca Pr Th
1 1 1
Cartesian
0.000 0.000 0.000 Ca
0.000 0.000 11.376 Pr
0.000 0.000 5.499 Th
```

Q | First-principles (PBE) data for an optimized crystal structure of CaPrTh, as listed in the Alexandria database.

Geometry as POSCAR:
```
CaPrTh
1.0
1.814 1.048 19.103
-1.814 1.048 19.103
0.000 -2.095 19.103
Ca Pr Th
2 2 2
Cartesian
0.000 0.000 11.151 Ca
0.000 0.000 46.158 Ca
0.000 0.000 14.675 Pr
0.000 0.000 42.634 Pr
0.000 0.000 20.556 Th
0.000 0.000 36.753 Th
```

R | First-principles (PBE) data for an optimized crystal structure of CaPrTh, as listed in the Alexandria database.

Geometry as POSCAR:
```
CaPrTh
1.0
3.670 0.000 0.000
-1.835 3.178 0.000
0.000 0.000 9.251
Ca Pr Th
1 1 1
Cartesian
0.000 0.000 0.000 Ca
0.000 2.119 5.947 Pr
1.835 1.059 3.080 Th
```

S | First-principles (PBE) data for an optimized crystal structure of CaPrTh, as listed in the Alexandria database.

Geometry as POSCAR:
```
CaPrTh
1.0
3.677 0.000 0.000
0.000 3.677 0.000
0.000 0.000 16.080
Ca Pr Th
2 2 2
Cartesian
0.919 0.919 1.472 Ca
2.757 2.757 14.607 Ca
0.919 0.919 11.716 Pr
2.757 2.757 4.364 Pr
0.919 0.919 6.854 Th
2.757 2.757 9.225 Th
```

The data favor S; the next most stable structure lies 0.070 eV/atom above it.

P | First-principles (PBE) data for an optimized crystal structure of CaPr2Tl, as listed in the Alexandria database.

Geometry as POSCAR:
```
CaPr2Tl
1.0
0.000 4.020 4.020
4.020 0.000 4.020
4.020 4.020 0.000
Ca Pr Tl
1 2 1
Cartesian
0.000 0.000 0.000 Ca
4.020 4.020 4.020 Pr
6.030 6.030 6.030 Pr
2.010 2.010 2.010 Tl
```

Q | First-principles (PBE) data for an optimized crystal structure of CaPr2Tl, as listed in the Alexandria database.

Geometry as POSCAR:
```
CaPr2Tl
1.0
0.000 4.016 4.016
4.016 0.000 4.016
4.016 4.016 0.000
Ca Pr Tl
1 2 1
Cartesian
0.000 0.000 0.000 Ca
2.008 2.008 2.008 Pr
6.024 6.024 6.024 Pr
4.016 4.016 4.016 Tl
```

R | First-principles (PBE) data for an optimized crystal structure of CaPr2Tl, as listed in the Alexandria database.

Geometry as POSCAR:
```
CaPr2Tl
1.0
2.337 -6.018 0.000
2.337 6.018 0.000
0.000 0.000 10.017
Ca Pr Tl
2 4 2
Cartesian
2.337 5.322 7.512 Ca
2.337 -5.322 2.504 Ca
2.337 1.723 5.458 Pr
2.337 1.723 9.567 Pr
2.337 -1.723 0.450 Pr
2.337 -1.723 4.558 Pr
2.337 3.115 2.504 Tl
2.337 -3.115 7.512 Tl
```

The data favor Q; the next most stable structure lies 0.009 eV/atom above it.